# 1
GdUNb | PBE | optimized geometry

Properties
- Formation energy from the elements: 0.983 eV per atom
- DFT total energy: -7.699 eV/atom
- Crystal system: cubic

a = 6.852 Å, b = 6.852 Å, c = 6.852 Å
α = 90.00°, β = 90.00°, γ = 90.00°
Space group F-43m (No. 216)
Symmetry-distinct sites (fractional):
1 Gd 0.000 0.000 0.000
2 U 0.000 0.000 0.500
3 Nb 0.250 0.250 0.250

***

# 2
Ho3ZrF4 | PBE | optimized geometry

Properties
- DFT total energy: -5.901 eV/atom
- Crystal system: tetragonal

a = 5.371 Å, b = 5.371 Å, c = 10.812 Å
α = 90.00°, β = 90.00°, γ = 90.00°
Space group I-42m (No. 121)
Symmetry-distinct sites (fractional):
1 Ho 0.000 0.000 0.000
2 Ho 0.000 0.500 0.250
3 Zr 0.000 0.000 0.500
4 F 0.175 0.175 0.833

***

# 3
NaNp2Cl8 | PBE | optimized geometry

Properties
- DFT total energy: -5.522 eV/atom
- Crystal system: monoclinic

a = 10.941 Å, b = 8.488 Å, c = 7.112 Å
α = 90.00°, β = 102.39°, γ = 90.00°
Space group C2/m (No. 12)
Symmetry-distinct sites (fractional):
1 Na 0.000 0.000 0.000
2 Np 0.188 0.500 0.449
3 Cl 0.062 0.500 0.737
4 Cl 0.138 0.191 0.322
5 Cl 0.195 0.000 0.827

***

# 4
LuInTc2 | PBE | optimized geometry

Properties
- DFT total energy: -6.842 eV/atom
- Crystal system: cubic

a = 6.624 Å, b = 6.624 Å, c = 6.624 Å
α = 90.00°, β = 90.00°, γ = 90.00°
Space group F-43m (No. 216)
Symmetry-distinct sites (fractional):
1 Lu 0.000 0.000 0.000
2 In 0.250 0.250 0.750
3 Tc 0.000 0.000 0.500
4 Tc 0.250 0.250 0.250